The following is a DFT calculation (PBE) of a relaxed Rb2Sb2Pd3 crystal.

a = 11.770 Å, b = 11.770 Å, c = 11.770 Å
α = 22.39°, β = 22.39°, γ = 22.39°
Fractional coordinates of all 7 atoms:
Pd 0.849 0.849 0.849
Sb 0.004 0.004 0.004
Rb 0.756 0.756 0.756
Rb 0.251 0.251 0.251
Pd 0.350 0.350 0.350
Sb 0.506 0.506 0.506
Pd 0.659 0.659 0.659

Values from the calculation:
E above lowest polymorph in meV/atom: 105.2


The following is a DFT calculation (PBE) of a relaxed RbSb2Pd4 crystal.

a = 9.626 Å, b = 9.626 Å, c = 9.626 Å
α = 27.07°, β = 27.07°, γ = 27.07°
Fractional coordinates of all 7 atoms:
Sb 0.759 0.759 0.759
Pd 0.552 0.552 0.552
Pd 0.448 0.448 0.448
Rb 0.000 0.000 0.000
Pd 0.145 0.145 0.145
Pd 0.855 0.855 0.855
Sb 0.241 0.241 0.241

Values from the calculation:
VASP energy in eV per atom: -4.70